The following is a PBE with a Hubbard U calculation of AlCrAs2O8 after structural relaxation, from Alexandria.

abc: 6.432 6.432 6.216
angles: 90.00 90.00 90.00
Space group I-4m2 (No. 119)
Unique sites:
Al: 0.000 0.000 0.000 (multiplicity 2)
Cr: 0.000 0.500 0.250 (multiplicity 2)
As: 0.000 0.000 0.500 (multiplicity 2)
As: 0.000 0.500 0.750 (multiplicity 2)
O: 0.000 0.189 0.303 (multiplicity 8)
O: 0.000 0.302 0.936 (multiplicity 8)

Computed properties:
crystal system	tetragonal
total energy	-155.82	eV for the cell shown